(1)
Computed, not measured: a relaxed structure of AlAsPt2 at the GGA-PBE level of DFT.

Lattice parameters (Å, degrees): 3.8393 3.8393 8.6106 90.00 90.00 90.00
Space group I-4m2 (No. 119)
One atom of each set of equivalent atoms:
1 Al 0.0000 0.0000 0.0000 [2 per cell]
2 As 0.0000 0.5000 0.7500 [2 per cell]
3 Pt 0.0000 0.0000 0.5000 [2 per cell]
4 Pt 0.0000 0.5000 0.2500 [2 per cell]

The value obtained for the energy above the most stable polymorph in this dataset is 0.1698 eV/atom. The value obtained for the total magnetic moment is 0.0 μB/cell. Its theoretical density is 12.9 g cm⁻³. For the calculated formation energy, the calculation gives -379 meV per atom.

---

(2)
Computed, not measured: a relaxed structure of PaNbAl2 at the GGA-PBE level of DFT.

Lattice parameters (Å, degrees): 3.0144 3.0144 29.8344 90.00 90.00 120.00
Space group R-3m (No. 166, hexagonal axes)
One atom of each set of equivalent atoms:
1 Pa 0.0000 0.0000 0.0000 [3 per cell]
2 Nb 0.0000 0.0000 0.5000 [3 per cell]
3 Al 0.0000 0.0000 0.2428 [6 per cell]

The value obtained for the energy above the most stable polymorph in this dataset is 0.1320 eV/atom. The value obtained for the total magnetic moment is 0.0 μB/cell. Its theoretical density is 8.0 g cm⁻³. For the calculated formation energy, the calculation gives -92 meV per atom.

---

(3)
Computed, not measured: a relaxed structure of Np2CuPdO8 at the GGA-PBE level of DFT.

Lattice parameters (Å, degrees): 5.3395 5.3395 10.5855 90.00 90.00 90.00
Space group I-4 (No. 82)
One atom of each set of equivalent atoms:
1 Np 0.0000 0.0000 0.0000 [2 per cell]
2 Np 0.0000 0.5000 0.2500 [2 per cell]
3 Cu 0.0000 0.0000 0.5000 [2 per cell]
4 Pd 0.0000 0.5000 0.7500 [2 per cell]
5 O 0.1730 0.8232 0.2156 [8 per cell]
6 O 0.1824 0.3139 0.0388 [8 per cell]

The calculation puts the uncorrected energy at -8.05 eV per atom. The value obtained for the total magnetic moment is 2.0 μB/cell. Its theoretical density is 8.5 g cm⁻³.

---

What is the total magnetic moment in the third record? 2.0 μB/cell

---

What is the theoretical density in the second record? 8.0 g cm⁻³